A plane-wave DFT calculation with PBE was carried out for an optimized crystal structure of NbAgPt2.

Unit cell a=2.8936 b=2.8936 c=7.9661 alpha=90.00 beta=90.00 gamma=90.00
With the nearest neighbours (Å) after each atom.
Fractional coordinates of all 4 atoms:
Nb  0.5000  0.5000  0.5000  8 Pt 2.79, 4 Nb 2.89
Ag  0.5000  0.5000  0.0000  4 Ag 2.89, 8 Pt 2.92
Pt  0.0000  0.0000  0.7378  4 Nb 2.79, 4 Pt 2.89, 4 Ag 2.92
Pt  0.0000  0.0000  0.2622  4 Nb 2.79, 4 Pt 2.89, 4 Ag 2.92

Values from the calculation:
DOS(E_F)	0.701	states/eV per atom
volume	67	Å³/f.u.
calculated total energy	-6.667	eV per atom
theoretical density	14.71	g/cm³